Compound: TaRe2Cl
Source: the Alexandria database
Functional: PBE-GGA
Structure: relaxed

Cell: 5.337 5.337 4.327 Å, 92.52 92.52 32.23°
Positions (direct):
Ta 0.000 0.000 0.000
Re 0.286 0.286 0.775
Re 0.714 0.714 0.225
Cl 0.500 0.500 0.500

Energy relative to the elements, uncorrected in eV per atom: 0.477

***

Compound: Ta2ReCl
Source: the Alexandria database
Functional: PBE-GGA
Structure: relaxed

Cell: 4.585 4.585 4.585 Å, 60.00 60.00 60.00°
Positions (direct):
Ta 0.250 0.250 0.250
Ta 0.750 0.750 0.750
Re 0.000 0.000 0.000
Cl 0.500 0.500 0.500

Energy relative to the elements, uncorrected in eV per atom: 0.615

***

Compound: TaRe2Cl
Source: the Alexandria database
Functional: PBE-GGA
Structure: relaxed

Cell: 4.558 4.558 3.067 Å, 90.00 90.00 90.00°
Positions (direct):
Ta 0.000 0.000 0.000
Re 0.000 0.500 0.500
Re 0.500 0.000 0.500
Cl 0.500 0.500 0.000

Energy relative to the elements, uncorrected in eV per atom: 0.936

***

Compound: TaRe2Cl
Source: the Alexandria database
Functional: PBE-GGA
Structure: relaxed

Cell: 2.866 2.866 8.841 Å, 90.00 90.00 114.38°
Positions (direct):
Ta 0.000 0.000 0.000
Re 0.500 0.500 0.243
Re 0.500 0.500 0.757
Cl 0.000 0.000 0.500

Energy relative to the elements, uncorrected in eV per atom: 0.474